[1]
DFT (GGA-PBE) results for a relaxed Pm2NdGe2 crystal.

Cell: 4.2989 7.8815 7.8815 Å, 90.00 90.00 90.00°
Sites, in units of the cell vectors:
Pm 0.0000 0.8268 0.8268
Pm 0.0000 0.6732 0.3268
Pm 0.0000 0.1732 0.1732
Pm 0.0000 0.3268 0.6732
Ge 0.5000 0.6208 0.6208
Ge 0.5000 0.3792 0.3792
Ge 0.5000 0.8792 0.1208
Ge 0.5000 0.1208 0.8792
Nd 0.5000 0.0000 0.5000
Nd 0.5000 0.5000 0.0000

Properties
Relative energy among the computed polymorphs, eV per atom: 0.0000
Crystal system: tetragonal
V, Å³/cell: 267
Calculated formation energy, eV per atom: -0.74
Total magnetic moment, μB per formula unit: 0.000



[2]
DFT (GGA-PBE) results for a relaxed Pm2Nd3Ge4 crystal.

Cell: 4.4985 6.1954 9.8923 Å, 98.19 90.00 111.29°
Sites, in units of the cell vectors:
Nd 0.3799 0.7598 0.6007
Nd 0.0000 0.0000 0.0000
Nd 0.6201 0.2402 0.3993
Ge 0.9101 0.8201 0.3918
Ge 0.6522 0.3044 0.1126
Ge 0.0899 0.1799 0.6082
Ge 0.3478 0.6956 0.8874
Pm 0.6790 0.3580 0.8144
Pm 0.3210 0.6420 0.1856

Properties
Relative energy among the computed polymorphs, eV per atom: 0.1267
Crystal system: monoclinic
V, Å³/cell: 254
Calculated formation energy, eV per atom: -0.69
Total magnetic moment, μB per formula unit: 0.006



[3]
DFT (GGA-PBE) results for a relaxed PmNdGe crystal.

Cell: 4.4964 4.4598 9.5491 Å, 89.99 118.07 90.00°
Sites, in units of the cell vectors:
Ge 0.4017 0.5260 0.7684
Ge 0.4584 0.0251 0.3247
Pm 0.0418 0.5252 0.4076
Pm 0.8183 0.0256 0.6854
Nd 0.6960 0.0254 0.0637
Nd 0.1641 0.5254 0.0292

Properties
Relative energy among the computed polymorphs, eV per atom: 0.0501
Crystal system: monoclinic
V, Å³/cell: 169
Calculated formation energy, eV per atom: -0.56
Total magnetic moment, μB per formula unit: 0.000



[4]
DFT (GGA-PBE) results for a relaxed Pm3Nd2Ge4 crystal.

Cell: 7.1013 8.4938 8.9657 Å, 90.00 113.33 90.00°
Sites, in units of the cell vectors:
Ge 0.1886 0.9429 0.3773
Ge 0.2223 0.7500 0.9446
Ge 0.8114 0.0571 0.6227
Ge 0.2777 0.2500 0.0554
Ge 0.7223 0.7500 0.9446
Ge 0.3114 0.4429 0.6227
Ge 0.7777 0.2500 0.0554
Ge 0.6886 0.5571 0.3773
Pm 0.0452 0.7500 0.5904
Pm 0.0000 0.0000 0.0000
Pm 0.5000 0.5000 0.0000
Pm 0.9548 0.2500 0.4096
Pm 0.4548 0.2500 0.4096
Pm 0.5452 0.7500 0.5904
Nd 0.8934 0.4049 0.7867
Nd 0.1066 0.5951 0.2133
Nd 0.3934 0.0951 0.7867
Nd 0.6066 0.9049 0.2133

Properties
Relative energy among the computed polymorphs, eV per atom: 0.1653
Crystal system: orthorhombic
V, Å³/cell: 497
Calculated formation energy, eV per atom: -0.66
Total magnetic moment, μB per formula unit: 0.000



[5]
DFT (GGA-PBE) results for a relaxed PmNd3Ge4 crystal.

Cell: 4.1432 6.5501 9.0401 Å, 111.24 103.25 90.00°
Sites, in units of the cell vectors:
Nd 0.1959 0.1957 0.3917
Nd 0.0000 0.5000 0.0000
Nd 0.8041 0.8043 0.6083
Ge 0.6307 0.8205 0.2614
Ge 0.3693 0.1795 0.7386
Ge 0.3692 0.5592 0.7384
Ge 0.6308 0.4408 0.2616
Pm 0.5000 0.0000 0.0000

Properties
Crystal system: orthorhombic
V, Å³/cell: 222
Calculated formation energy, eV per atom: -0.66
Total magnetic moment, μB per formula unit: 0.000



[6]
DFT (GGA-PBE) results for a relaxed Pm3Nd4Ge4 crystal.

Cell: 3.9400 8.8331 10.0105 Å, 116.18 101.35 90.00°
Sites, in units of the cell vectors:
Nd 0.6710 0.4956 0.3419
Nd 0.6710 0.8463 0.3419
Nd 0.3290 0.5044 0.6581
Nd 0.3290 0.1537 0.6581
Pm 0.9053 0.9053 0.8106
Pm 0.0000 0.5000 0.0000
Pm 0.0947 0.0947 0.1894
Ge 0.5000 0.7751 0.0000
Ge 0.7247 0.2247 0.4495
Ge 0.5000 0.2249 0.0000
Ge 0.2753 0.7753 0.5505

Properties
Crystal system: orthorhombic
V, Å³/cell: 305
Calculated formation energy, eV per atom: -0.62
Total magnetic moment, μB per formula unit: 0.000



[7]
DFT (GGA-PBE) results for a relaxed PmNd2Ge crystal.

Cell: 4.8168 4.7981 4.7981 Å, 90.00 90.00 90.00°
Sites, in units of the cell vectors:
Nd 0.0000 0.0000 0.5000
Nd 0.0000 0.5000 0.0000
Pm 0.5000 0.5000 0.5000
Ge 0.5000 0.0000 0.0000

Properties
Relative energy among the computed polymorphs, eV per atom: 0.0864
Crystal system: tetragonal
V, Å³/cell: 111
Calculated formation energy, eV per atom: -0.34
Total magnetic moment, μB per formula unit: 0.000



[8]
DFT (GGA-PBE) results for a relaxed PmNd2Ge crystal.

Cell: 3.7435 3.7435 11.3055 Å, 80.47 80.47 60.00°
Site moments in Bohr magnetons follow the coordinates.
Sites, in units of the cell vectors:
Nd 0.1063 0.1063 0.6812  0.05
Nd 0.8937 0.8937 0.3188  0.05
Pm 0.0000 0.0000 0.0000  0.25
Ge 0.5000 0.5000 0.5000  -0.01

Properties
Relative energy among the computed polymorphs, eV per atom: 0.3931
Crystal system: trigonal
V, Å³/cell: 135
Calculated formation energy, eV per atom: -0.04
Total magnetic moment, μB per formula unit: 0.747